Computed, not measured: LiRe3O after structural relaxation at the GGA-PBE level of DFT.

Lattice parameters (Å, degrees): 4.1172 4.1172 4.1172 90.00 90.00 90.00
Closest atoms and distances in Å follow each position.
Fractional coordinates of all 5 atoms:
Re1 0.0000 0.5000 0.0000  2 Li 2.06
Re2 0.0000 0.0000 0.5000  2 Li 2.06
Re3 0.5000 0.0000 0.0000  2 Li 2.06
O1 0.5000 0.5000 0.5000  12 Re 2.91
Li1 0.0000 0.0000 0.0000  6 Re 2.06

## Properties
Energy relative to the elements, uncorrected in eV per atom: 2.2883
Magnetization in μB/f.u.: 0.0
DOS(E_F) in states/eV/atom: 1.20